Crystalline NdScBe2Pd5 at its relaxed geometry. Source: the Alexandria database, functional PBE-GGA.

Properties
SG = No. 123
energy relative to the elements = -632.1 meV/atom

Lattice parameters (Å, degrees): 4.3067 4.3067 7.8982 90.00 90.00 90.00
With the nearest neighbours (Å) after each atom.
Positions (direct):
Nd: 0.0000 0.0000 0.0000  12 Pd 3.02-3.05
Sc: 0.0000 0.0000 0.5000  8 Pd 2.82
Be: 0.5000 0.5000 0.3563  4 Pd 2.26, 1 Be 2.27
Be: 0.5000 0.5000 0.6437  4 Pd 2.26, 1 Be 2.27
Pd: 0.0000 0.5000 0.2687  2 Be 2.26
Pd: 0.0000 0.5000 0.7313  2 Be 2.26
Pd: 0.5000 0.0000 0.2687  2 Be 2.26
Pd: 0.5000 0.0000 0.7313  2 Be 2.26
Pd: 0.5000 0.5000 0.0000  2 Be 2.81, 8 Pd 3.02, 4 Nd 3.05

Crystalline CoTe2Rh at its relaxed geometry. Source: the Alexandria database, functional PBE-GGA.

Properties
formation energy from raw total energies = 0.060 eV/atom
SG = No. 12

Lattice parameters (Å, degrees): 3.7521 3.7521 6.6809 106.21 106.21 59.65
With the nearest neighbours (Å) after each atom.
Positions (direct):
Co: 0.0000 0.0000 0.0000  6 Te 2.62-2.63
Te: 0.2554 0.2554 0.7656  3 Co 2.62-2.63, 3 Rh 2.74
Te: 0.7446 0.7446 0.2344  3 Co 2.62-2.63, 3 Rh 2.74
Rh: 0.5000 0.5000 0.5000  6 Te 2.74

Crystalline Cs2Sn2I7 at its relaxed geometry. Source: the Alexandria database, functional PBE-GGA.

Properties
formation energy from raw total energies = -0.727 eV/atom
SG = No. 65

Lattice parameters (Å, degrees): 7.8318 7.8318 9.0239 90.00 90.00 98.78
With the nearest neighbours (Å) after each atom.
Positions (direct):
Cs: 0.2246 0.2246 0.0000  6 I 3.80-3.86
Cs: 0.7754 0.7754 0.0000  6 I 3.80-3.86
Sn: 0.2707 0.7293 0.5000  7 I 3.22-3.35
Sn: 0.7293 0.2707 0.5000  7 I 3.22-3.35
I: 0.0000 0.0000 0.5000  2 Sn 3.22
I: 0.0000 0.5000 0.2718  2 Sn 3.29
I: 0.0000 0.5000 0.7282  2 Sn 3.29
I: 0.5000 0.0000 0.2718  2 Sn 3.29
I: 0.5000 0.0000 0.7282  2 Sn 3.29
I: 0.5000 0.5000 0.2845  2 Sn 3.35
I: 0.5000 0.5000 0.7155  2 Sn 3.35

Crystalline Pm6Pb2N at its relaxed geometry. Source: the Alexandria database, functional PBE-GGA.

Properties
formation energy from raw total energies = -0.586 eV/atom
SG = No. 225

Lattice parameters (Å, degrees): 7.1129 7.1129 7.1129 60.00 60.00 60.00
With the nearest neighbours (Å) after each atom.
Positions (direct):
Pm: 0.2443 0.2443 0.7557  1 N 2.46
Pm: 0.2443 0.7557 0.2443  1 N 2.46
Pm: 0.2443 0.7557 0.7557  1 N 2.46
Pm: 0.7557 0.2443 0.2443  1 N 2.46
Pm: 0.7557 0.2443 0.7557  1 N 2.46
Pm: 0.7557 0.7557 0.2443  1 N 2.46
Pb: 0.2500 0.2500 0.2500  12 Pm 3.56
Pb: 0.7500 0.7500 0.7500  12 Pm 3.56
N: 0.0000 0.0000 0.0000  6 Pm 2.46

Crystalline TiTl2Ru at its relaxed geometry. Source: the Alexandria database, functional PBE-GGA.

Properties
SG = No. 225
energy relative to the elements = 340.8 meV/atom

Lattice parameters (Å, degrees): 4.7313 4.7313 4.7313 60.00 60.00 60.00
With the nearest neighbours (Å) after each atom.
Positions (direct):
Ti: 0.0000 0.0000 0.0000  8 Tl 2.90
Tl: 0.2500 0.2500 0.2500  4 Ru 2.90, 4 Ti 2.90
Tl: 0.7500 0.7500 0.7500  4 Ti 2.90, 4 Ru 2.90
Ru: 0.5000 0.5000 0.5000  8 Tl 2.90

Crystalline Pr2DyCd12Ag3 at its relaxed geometry. Source: the Alexandria database, functional PBE-GGA.

Properties
SG = No. 166
energy relative to the elements = 101.2 meV/atom

Lattice parameters (Å, degrees): 8.8601 8.8601 8.8601 60.79 60.79 60.79
With the nearest neighbours (Å) after each atom.
Positions (direct):
Pr: 0.0827 0.0827 0.0827  6 Cd 3.10-3.21
Pr: 0.9173 0.9173 0.9173  6 Cd 3.10-3.21
Dy: 0.5000 0.5000 0.5000  12 Cd 3.12-3.38
Cd: 0.0406 0.6754 0.6754  1 Ag 2.90, 1 Pr 3.21
Cd: 0.2576 0.2576 0.6667  2 Ag 2.72
Cd: 0.2576 0.6667 0.2576  2 Ag 2.72
Cd: 0.3246 0.3246 0.9594  1 Ag 2.90, 1 Pr 3.21
Cd: 0.3246 0.9594 0.3246  1 Ag 2.90, 1 Pr 3.21
Cd: 0.3333 0.7424 0.7424  2 Ag 2.72
Cd: 0.6667 0.2576 0.2576  2 Ag 2.72
Cd: 0.6754 0.0406 0.6754  1 Ag 2.90, 1 Pr 3.21
Cd: 0.6754 0.6754 0.0406  1 Ag 2.90, 1 Pr 3.21
Cd: 0.7424 0.3333 0.7424  2 Ag 2.72
Cd: 0.7424 0.7424 0.3333  2 Ag 2.72
Cd: 0.9594 0.3246 0.3246  1 Ag 2.90, 1 Pr 3.21
Ag: 0.0000 0.5000 0.5000  6 Cd 2.72-2.90
Ag: 0.5000 0.0000 0.5000  6 Cd 2.72-2.90
Ag: 0.5000 0.5000 0.0000  6 Cd 2.72-2.90

Crystalline Tb3Tm4Cd2 at its relaxed geometry. Source: the Alexandria database, functional PBE-GGA.

Properties
SG = No. 12
energy relative to the elements = -73.7 meV/atom

Lattice parameters (Å, degrees): 7.6596 7.6596 7.7200 107.61 107.61 36.79
With the nearest neighbours (Å) after each atom.
Positions (direct):
Tb: 0.0000 0.0000 0.0000  6 Tm 3.38-3.44, 4 Cd 3.42, 2 Tb 3.46
Tb: 0.1139 0.1139 0.6694  7 Tm 3.39-3.50, 3 Cd 3.40-3.42, 2 Tb 3.46-3.50
Tb: 0.8861 0.8861 0.3306  7 Tm 3.39-3.50, 3 Cd 3.40-3.42, 2 Tb 3.46-3.50
Tm: 0.2213 0.2213 0.3227  3 Cd 3.38-3.39, 4 Tb 3.38-3.50, 5 Tm 3.42-3.55
Tm: 0.4430 0.4430 0.6653  4 Tm 3.42-3.46, 2 Cd 3.44, 6 Tb 3.44-3.46
Tm: 0.5570 0.5570 0.3347  4 Tm 3.42-3.46, 2 Cd 3.44, 6 Tb 3.44-3.46
Tm: 0.7787 0.7787 0.6773  3 Cd 3.38-3.39, 4 Tb 3.38-3.50, 5 Tm 3.42-3.55
Cd: 0.3337 0.3337 0.0002  5 Tm 3.38-3.44, 5 Tb 3.40-3.42, 2 Cd 3.43
Cd: 0.6663 0.6663 0.9998  5 Tm 3.38-3.44, 5 Tb 3.40-3.42, 2 Cd 3.43

Crystalline Cd2Ag7Sn2Sb at its relaxed geometry. Source: the Alexandria database, functional PBE-GGA.

Properties
formation energy from raw total energies = 0.047 eV/atom
SG = No. 12

Lattice parameters (Å, degrees): 4.3780 4.3780 13.2672 90.05 90.05 93.68
With the nearest neighbours (Å) after each atom.
Positions (direct):
Cd: 0.0000 0.0000 0.1870  6 Ag 2.89-3.00, 4 Sn 2.99-3.19
Cd: 0.0000 0.0000 0.8130  6 Ag 2.89-3.00, 4 Sn 2.99-3.19
Ag: 0.0000 0.0000 0.5000  4 Sb 2.99-3.19, 8 Ag 3.04
Ag: 0.0000 0.4996 0.3410  2 Cd 2.99-3.00, 6 Ag 2.99-3.20, 2 Sn 3.02-3.03, 2 Sb 3.04
Ag: 0.0000 0.5004 0.6590  2 Cd 2.99-3.00, 6 Ag 2.99-3.20, 2 Sn 3.02-3.03, 2 Sb 3.04
Ag: 0.2462 0.2462 0.0001  2 Sn 2.87, 2 Cd 2.89, 4 Ag 2.95-3.19
Ag: 0.4996 0.0000 0.3410  2 Cd 2.99-3.00, 6 Ag 2.99-3.20, 2 Sn 3.02-3.03, 2 Sb 3.04
Ag: 0.5004 0.0000 0.6590  2 Cd 2.99-3.00, 6 Ag 2.99-3.20, 2 Sn 3.02-3.03, 2 Sb 3.04
Ag: 0.7538 0.7538 0.9999  2 Sn 2.87, 2 Cd 2.89, 4 Ag 2.95-3.19
Sn: 0.5003 0.5003 0.1834  6 Ag 2.87-3.03, 4 Cd 2.99-3.19
Sn: 0.4997 0.4997 0.8166  6 Ag 2.87-3.03, 4 Cd 2.99-3.19
Sb: 0.5000 0.5000 0.5000  12 Ag 2.99-3.19

Number 1: V 16.28 Å³ per atom, final energy -50.2 eV per cell, density of states at the Fermi level 0.50 states/eV/atom. Number 2: V 19.21 Å³ per atom, final energy -20.5 eV per cell, density of states at the Fermi level 0.99 states/eV/atom. Number 3: V 49.73 Å³ per atom, final energy -28.6 eV per cell, density of states at the Fermi level 0.87 states/eV/atom. Number 4: V 28.27 Å³ per atom, final energy -49.5 eV per cell, density of states at the Fermi level 0.95 states/eV/atom. Number 5: V 18.72 Å³ per atom, final energy -20.5 eV per cell, density of states at the Fermi level 0.52 states/eV/atom. Number 6: V 27.81 Å³ per atom, final energy -31.9 eV per cell, density of states at the Fermi level 0.46 states/eV/atom. Number 7: V 28.56 Å³ per atom, final energy -34.3 eV per cell, density of states at the Fermi level 1.26 states/eV/atom. Number 8: V 21.15 Å³ per atom, final energy -33.4 eV per cell, density of states at the Fermi level 0.34 states/eV/atom.